A.
DFT (PBE) results for crystalline Ho6OsRu2 at its relaxed geometry.

Properties
calculated volume: 25.07 A^3/atom
SG: P2_1/c, No. 14

abc: 6.557 7.222 11.379
angles: 90.00 123.13 90.00
Element x y z (fractional)
Ho 0.073 0.033 0.240
Ho 0.073 0.467 0.740
Ho 0.219 0.667 0.071
Ho 0.219 0.833 0.571
Ho 0.400 0.171 0.078
Ho 0.400 0.329 0.578
Ho 0.600 0.671 0.422
Ho 0.600 0.829 0.922
Ho 0.781 0.167 0.429
Ho 0.781 0.333 0.929
Ho 0.927 0.533 0.260
Ho 0.927 0.967 0.760
Os 0.500 0.000 0.500
Os 0.500 0.500 0.000
Ru 0.323 0.145 0.790
Ru 0.323 0.355 0.290
Ru 0.677 0.645 0.710
Ru 0.677 0.855 0.210

B.
DFT (PBE) results for crystalline Ho6OsRu2 at its relaxed geometry.

Properties
calculated volume: 24.75 A^3/atom
SG: Fmmm, No. 69

abc: 9.668 7.573 6.900
angles: 83.69 51.13 45.18
Element x y z (fractional)
Ho 0.127 0.873 0.127
Ho 0.207 0.460 0.540
Ho 0.460 0.207 0.793
Ho 0.540 0.793 0.207
Ho 0.793 0.540 0.460
Ho 0.873 0.127 0.873
Os 0.500 0.500 0.500
Ru 0.167 0.167 0.833
Ru 0.833 0.833 0.167

It is B that is most stable; the runner-up trails by 77 meV/atom.